# 1
## NaPbBrF2 (PBE)

Data for an optimized crystal structure of NaPbBrF2.

Properties
Space-group type: No. 99
Formation energy from raw total energies: -2100 meV per atom
E: -4.19 eV/atom
DOS at the Fermi energy: 0.0 states/eV per cell
Magnetization: 0.00 μB per atom

Cell: 4.1641 4.1641 6.7524 Å, 90.00 90.00 90.00°
Positions (direct):
Na  0.0000  0.0000  0.0376
Pb  0.5000  0.5000  0.7007
Br  0.0000  0.0000  0.4655
F  0.0000  0.5000  0.8981
F  0.5000  0.0000  0.8981

---

# 2
## NaPuBrF6 (PBE)

Data for an optimized crystal structure of NaPuBrF6.

Properties
Space-group type: No. 1
Formation energy from raw total energies: -2576 meV per atom
E: -5.75 eV/atom
DOS at the Fermi energy: 10.1 states/eV per cell
Magnetization: 0.44 μB per atom

Cell: 6.6533 5.8706 5.3389 Å, 88.84 75.66 60.41°
Last column: magnetic moment on the atom in μB.
Positions (direct):
Na  0.6404  0.6625  0.8627  0.00
Pu  0.3644  0.3177  0.4345  3.44
Br  0.9184  0.1255  0.0923  0.49
F  0.1159  0.2984  0.2695  0.01
F  0.4035  0.0043  0.6438  -0.05
F  0.5522  0.3910  0.6524  -0.04
F  0.0472  0.5785  0.7141  -0.03
F  0.3552  0.6163  0.2183  -0.05
F  0.6026  0.0058  0.1122  0.06

---

# 3
## RbNa2BrF (PBE)

Data for an optimized crystal structure of RbNa2BrF.

Properties
Space-group type: No. 123
Formation energy from raw total energies: -1545 meV per atom
E: -2.97 eV/atom
DOS at the Fermi energy: 1.5 states/eV per cell
Magnetization: 0.00 μB per atom

Cell: 4.7480 4.7480 6.9303 Å, 90.00 90.00 90.00°
Positions (direct):
Na  0.0000  0.5000  0.0000
Na  0.5000  0.0000  0.0000
Br  0.5000  0.5000  0.5000
Rb  0.0000  0.0000  0.5000
F  0.0000  0.0000  0.0000

---

# 4
## Rb2NaBrF2 (PBE)

Data for an optimized crystal structure of Rb2NaBrF2.

Properties
Space-group type: No. 123
Formation energy from raw total energies: -2346 meV per atom
E: -3.79 eV/atom
DOS at the Fermi energy: 0.0 states/eV per cell
Magnetization: 0.00 μB per atom

Cell: 4.5018 4.5018 7.3963 Å, 90.00 90.00 90.00°
Positions (direct):
Rb  0.5000  0.5000  0.7569
Rb  0.5000  0.5000  0.2431
Na  0.0000  0.0000  0.0000
Br  0.0000  0.0000  0.5000
F  0.5000  0.0000  0.0000
F  0.0000  0.5000  0.0000

---

# 5
## Rb2NaBr6F (PBE)

Data for an optimized crystal structure of Rb2NaBr6F.

Properties
Space-group type: No. 139
Formation energy from raw total energies: -779 meV per atom
E: -2.29 eV/atom
DOS at the Fermi energy: 4.6 states/eV per cell
Magnetization: 0.00 μB per atom

Cell: 7.4416 7.4416 8.1480 Å, 62.83 62.83 90.00°
Positions (direct):
Na  0.0000  0.0000  0.0000
Br  0.2210  0.2210  0.5580
Br  0.7790  0.7790  0.4420
Br  0.2757  0.2757  0.0000
Br  0.7243  0.7243  0.0000
Br  0.7243  0.2757  0.0000
Br  0.2757  0.7243  0.0000
Rb  0.7500  0.2500  0.5000
Rb  0.2500  0.7500  0.5000
F  0.5000  0.5000  0.0000

---

# 6
## RbNaBr2F8 (PBE)

Data for an optimized crystal structure of RbNaBr2F8.

Properties
Space-group type: No. 12
Formation energy from raw total energies: -1409 meV per atom
E: -3.13 eV/atom
DOS at the Fermi energy: 1.8 states/eV per cell
Magnetization: 0.00 μB per atom

Cell: 5.6255 4.6486 10.3243 Å, 75.94 74.19 52.77°
Positions (direct):
Rb  0.5000  0.5000  0.5000
Na  0.0000  0.0000  0.0000
Br  0.2358  0.3065  0.2219
Br  0.7642  0.6935  0.7781
F  0.8270  0.7619  0.5841
F  0.7042  0.6223  0.9694
F  0.1730  0.2381  0.4159
F  0.2958  0.3777  0.0306
F  0.7373  0.8177  0.2202
F  0.2627  0.1823  0.7798
F  0.2248  0.8177  0.2202
F  0.7752  0.1823  0.7798

---

# 7
## RbNaBrF6 (PBE)

Data for an optimized crystal structure of RbNaBrF6.

Properties
Space-group type: No. 149
Formation energy from raw total energies: -1688 meV per atom
E: -3.38 eV/atom
Magnetization: 0.11 μB per atom

Cell: 5.2036 6.1932 6.1932 Å, 120.00 90.00 90.00°
Last column: magnetic moment on the atom in μB.
Positions (direct):
Rb  0.0000  0.3333  0.6667  0.00
Na  0.5000  0.6667  0.3333  0.00
Br  0.5000  0.0000  0.0000  0.44
F  0.6794  0.7129  0.7033  0.07
F  0.6794  0.2967  0.0096  0.07
F  0.6794  0.9904  0.2871  0.07
F  0.3206  0.2967  0.2871  0.07
F  0.3206  0.7129  0.0096  0.07
F  0.3206  0.9904  0.7033  0.07

---

# 8
## Na3ReBr2F6 (PBE)

Data for an optimized crystal structure of Na3ReBr2F6.

Properties
Space-group type: No. 12
Formation energy from raw total energies: -2023 meV per atom
E: -4.60 eV/atom
DOS at the Fermi energy: 9.8 states/eV per cell
Magnetization: 0.16 μB per atom

Cell: 4.8400 7.0351 8.1135 Å, 115.69 90.49 90.00°
Last column: magnetic moment on the atom in μB.
Positions (direct):
Na  0.0000  0.5000  0.0000  0.00
Na  0.5000  0.5000  0.5000  0.00
Na  0.5000  0.0000  0.5000  0.00
Re  0.5000  0.0000  0.0000  1.55
Br  0.0769  0.6898  0.3796  -0.01
Br  0.9231  0.3102  0.6204  -0.01
F  0.7484  0.2332  0.0680  0.05
F  0.2516  0.7668  0.9320  0.05
F  0.6132  0.8727  0.7454  0.06
F  0.3868  0.1273  0.2546  0.06
F  0.2516  0.1651  0.9320  0.05
F  0.7484  0.8349  0.0680  0.05

---

Repeat the third record exactly.
## RbNa2BrF (PBE)

Data for an optimized crystal structure of RbNa2BrF.

Properties
Space-group type: No. 123
Formation energy from raw total energies: -1545 meV per atom
E: -2.97 eV/atom
DOS at the Fermi energy: 1.5 states/eV per cell
Magnetization: 0.00 μB per atom

Cell: 4.7480 4.7480 6.9303 Å, 90.00 90.00 90.00°
Positions (direct):
Na  0.0000  0.5000  0.0000
Na  0.5000  0.0000  0.0000
Br  0.5000  0.5000  0.5000
Rb  0.0000  0.0000  0.5000
F  0.0000  0.0000  0.0000

---

Q: The highest E belongs to which entry?
A: Rb2NaBr6F

---

Please write out number 3 again, unchanged.
## RbNa2BrF (PBE)

Data for an optimized crystal structure of RbNa2BrF.

Properties
Space-group type: No. 123
Formation energy from raw total energies: -1545 meV per atom
E: -2.97 eV/atom
DOS at the Fermi energy: 1.5 states/eV per cell
Magnetization: 0.00 μB per atom

Cell: 4.7480 4.7480 6.9303 Å, 90.00 90.00 90.00°
Positions (direct):
Na  0.0000  0.5000  0.0000
Na  0.5000  0.0000  0.0000
Br  0.5000  0.5000  0.5000
Rb  0.0000  0.0000  0.5000
F  0.0000  0.0000  0.0000